Entry 1:
Material: Sm3Dy4Y8
Method: DFT, PBE
State: relaxed

Properties
For the total energy, the calculation gives -5.225 eV/atom. The distance to the lowest polymorph of the same formula comes out at 0.2393 eV/atom.

Cell lengths 6.7618, 9.3001, 9.3001 Å; angles 87.28, 111.32, 111.32 degrees
Positions (direct):
Y 0.0082 0.2620 0.2620
Y 0.0000 0.6431 0.3569
Dy 0.0000 0.0000 0.5000
Y 0.4662 0.7324 0.7324
Dy 0.0000 0.0000 0.0000
Sm 0.5000 0.5000 0.0000
Sm 0.5000 0.5000 0.5000
Y 0.5338 0.2676 0.2676
Y 0.5000 0.7484 0.2516
Y 0.0000 0.3569 0.6431
Dy 0.5000 0.0000 0.0000
Y 0.9918 0.7380 0.7380
Y 0.5000 0.2516 0.7484
Sm 0.5000 0.0000 0.5000
Dy 0.0000 0.5000 0.0000


Entry 2:
Material: RbS
Method: DFT, PBE
State: relaxed

Properties
For the total energy, the calculation gives -3.368 eV/atom.

Cell lengths 4.9771, 6.9128, 9.8606 Å; angles 90.00, 120.21, 90.00 degrees
Positions (direct):
Rb 0.0217 0.0000 0.4694
S 0.6506 0.3453 0.6016
Rb 0.0217 0.5000 0.9694
Rb 0.9341 0.0000 0.8847
Rb 0.9341 0.5000 0.3847
S 0.6506 0.8453 0.1016
S 0.6506 0.1547 0.1016
S 0.6506 0.6547 0.6016


Entry 3:
Material: Er3Tm2Tl
Method: DFT, PBE
State: relaxed

Properties
For the total energy, the calculation gives -4.276 eV/atom. The distance to the lowest polymorph of the same formula comes out at 0.0000 eV/atom.

Cell lengths 4.8068, 4.8270, 7.8273 Å; angles 107.96, 90.00, 90.00 degrees
Positions (direct):
Er 0.5000 0.5000 0.0000
Tl 0.0000 0.0000 0.0000
Tm 0.0000 0.6635 0.3269
Er 0.5000 0.1698 0.3396
Tm 0.0000 0.3365 0.6731
Er 0.5000 0.8302 0.6604


Entry 4:
Material: KSb
Method: DFT, PBE
State: relaxed

Properties
For the total energy, the calculation gives -3.025 eV/atom. The distance to the lowest polymorph of the same formula comes out at 0.0247 eV/atom.

Cell lengths 6.8402, 6.8402, 4.5985 Å; angles 90.05, 90.05, 48.23 degrees
Positions (direct):
K 0.7417 0.7417 0.6246
Sb 0.4464 0.4464 0.6251
Sb 0.3036 0.3036 0.1249
K 0.0083 0.0083 0.1254


Entry 5:
Material: Ni2MoW
Method: DFT, PBE
State: relaxed

Properties
For the total energy, the calculation gives -8.807 eV/atom. The distance to the lowest polymorph of the same formula comes out at 0.0376 eV/atom.

Cell lengths 3.7778, 2.6576, 5.9526 Å; angles 63.52, 90.00, 90.00 degrees
Positions (direct):
Mo 0.5000 0.7500 0.7500
Ni 0.0000 0.9990 0.0013
Ni 0.0000 0.5010 0.4987
W 0.5000 0.2500 0.2500


Entry 6:
Material: Mn2V3Ge2
Method: DFT, PBE
State: relaxed

Properties
For the total energy, the calculation gives -7.931 eV/atom.

Cell lengths 2.6788, 6.5049, 6.1267 Å; angles 113.05, 97.20, 101.96 degrees
Last column: magnetic moment on the atom in μB.
Positions (direct):
Mn 0.8299 0.1774 0.4325  1.27
Ge 0.6135 0.2465 0.8219  -0.01
V 0.0000 0.0000 0.0000  -0.03
V 0.3965 0.5732 0.7240  -0.31
Mn 0.1701 0.8226 0.5675  1.27
Ge 0.3865 0.7535 0.1781  -0.01
V 0.6035 0.4268 0.2760  -0.31


Entry 7:
Material: RbFeBr3
Method: DFT, PBE
State: relaxed

Properties
For the total energy, the calculation gives -3.891 eV/atom.

Cell lengths 7.8063, 9.7036, 10.1107 Å; angles 90.00, 87.52, 90.00 degrees
Last column: magnetic moment on the atom in μB.
Positions (direct):
Rb 0.5799 0.0814 0.2524  0.00
Rb 0.9201 0.5814 0.2476  0.00
Br 0.0500 0.9772 0.2880  0.15
Rb 0.4201 0.9186 0.7476  0.00
Br 0.8344 0.3030 0.4709  0.10
Fe 0.9562 0.8794 0.5173  3.37
Br 0.8306 0.3076 0.0338  0.09
Fe 0.0438 0.1206 0.4827  3.37
Br 0.4500 0.4772 0.2120  0.15
Br 0.1694 0.6924 0.9662  0.09
Rb 0.0799 0.4186 0.7524  0.00
Br 0.9500 0.0228 0.7120  0.15
Br 0.3306 0.1924 0.5338  0.09
Br 0.5500 0.5228 0.7880  0.15
Br 0.1656 0.6970 0.5291  0.10
Br 0.6656 0.8030 0.0291  0.10
Br 0.6694 0.8076 0.4662  0.09
Fe 0.5438 0.3794 0.9827  3.37
Fe 0.4562 0.6206 0.0173  3.37
Br 0.3344 0.1969 0.9709  0.10


Entry 8:
Material: Hf2CdP2
Method: DFT, PBE
State: relaxed

Properties
For the total energy, the calculation gives -7.008 eV/atom. The distance to the lowest polymorph of the same formula comes out at 0.0000 eV/atom.

Cell lengths 7.3029, 7.3029, 3.3582 Å; angles 90.00, 90.00, 90.00 degrees
Positions (direct):
Hf 0.3544 0.1456 0.5000
Cd 0.5000 0.5000 0.0000
Hf 0.6456 0.8544 0.5000
P 0.3562 0.8562 0.0000
Hf 0.1456 0.6456 0.5000
P 0.1438 0.3562 0.0000
Hf 0.8544 0.3544 0.5000
Cd 0.0000 0.0000 0.0000
P 0.6438 0.1438 0.0000
P 0.8562 0.6438 0.0000


Entry 9:
Material: ScNiS3
Method: DFT, PBE
State: relaxed

Properties
For the total energy, the calculation gives -4.752 eV/atom. The distance to the lowest polymorph of the same formula comes out at 0.5727 eV/atom.

Cell lengths 4.8352, 4.8352, 4.8352 Å; angles 90.00, 90.00, 90.00 degrees
Positions (direct):
Sc 0.0000 0.0000 0.0000
S 0.5000 0.0000 0.0000
S 0.0000 0.5000 0.0000
Ni 0.5000 0.5000 0.5000
S 0.0000 0.0000 0.5000


Entry 10:
Material: KHgGe
Method: DFT, PBE
State: relaxed

Properties
For the total energy, the calculation gives -2.162 eV/atom. The distance to the lowest polymorph of the same formula comes out at 0.0157 eV/atom.

Cell lengths 4.1448, 7.2994, 10.6140 Å; angles 140.43, 90.00, 106.49 degrees
Positions (direct):
Ge 0.0505 0.1011 0.3657
K 0.3477 0.6954 0.3822
K 0.9115 0.8229 0.7963
Hg 0.2017 0.4034 0.7685
Ge 0.5302 0.0604 0.2013
Hg 0.7150 0.4300 0.9926


Entry 11:
Material: LaGd2Si
Method: DFT, PBE
State: relaxed

Properties
For the total energy, the calculation gives -9.905 eV/atom. The distance to the lowest polymorph of the same formula comes out at 0.0008 eV/atom.

Cell lengths 3.7951, 3.7951, 7.7275 Å; angles 90.00, 90.00, 90.00 degrees
Last column: magnetic moment on the atom in μB.
Positions (direct):
Si 0.5000 0.5000 0.0000  -0.04
La 0.5000 0.5000 0.5000  0.19
Gd 0.0000 0.0000 0.8094  7.18
Gd 0.0000 0.0000 0.1906  7.18


Entry 12:
Material: In2HgS2
Method: DFT, PBE
State: relaxed

Properties
For the total energy, the calculation gives -3.110 eV/atom. The distance to the lowest polymorph of the same formula comes out at 0.0075 eV/atom.

Cell lengths 8.5954, 8.5954, 7.7257 Å; angles 123.80, 123.80, 90.00 degrees
Positions (direct):
In 0.4532 0.1543 0.3086
S 0.6353 0.4146 0.8292
Hg 0.2929 0.7929 0.5858
S 0.6646 0.3853 0.3292
S 0.6646 0.9439 0.3292
In 0.4043 0.6054 0.8086
Hg 0.0429 0.0429 0.0858
S 0.1939 0.4146 0.8292
In 0.8554 0.1543 0.3086
In 0.4043 0.2032 0.8086


Entry 13:
Material: InRePb2
Method: DFT, PBE
State: relaxed

Properties
For the total energy, the calculation gives -5.135 eV/atom. The distance to the lowest polymorph of the same formula comes out at 0.0000 eV/atom.

Cell lengths 7.6108, 7.6108, 7.6108 Å; angles 156.16, 143.90, 43.72 degrees
Last column: magnetic moment on the atom in μB.
Positions (direct):
Re 0.7500 0.2500 0.5000  0.57
Pb 0.5747 0.5747 0.0000  0.01
Pb 0.9253 0.9253 0.0000  0.01
In 0.2500 0.7500 0.5000  -0.01


Entry 14:
Material: Na5B7C3
Method: DFT, PBE
State: relaxed

Properties
For the total energy, the calculation gives -5.252 eV/atom. The distance to the lowest polymorph of the same formula comes out at 0.0354 eV/atom.

Cell lengths 7.5877, 7.5871, 8.5710 Å; angles 90.00, 90.00, 140.73 degrees
Positions (direct):
Na 0.8001 0.2008 0.4997
B 0.6785 0.6783 0.7500
Na 0.8001 0.2008 0.0003
Na 0.9992 0.9995 0.0077
B 0.2685 0.0681 0.2500
B 0.5410 0.1295 0.2500
B 0.3495 0.3487 0.7500
B 0.7319 0.9319 0.2500
Na 0.2006 0.8006 0.0025
B 0.8685 0.4777 0.7500
B 0.9151 0.7145 0.2500
B 0.5388 0.1463 0.7500
Na 0.4021 0.6019 0.0020
B 0.0400 0.2307 0.7500
C 0.4743 0.8689 0.2500
Na 0.6028 0.4021 0.0049
C 0.8681 0.4655 0.2500
B 0.3298 0.3410 0.2500
Na 0.2006 0.8006 0.4975
C 0.0689 0.2747 0.2500
Na 0.4021 0.6019 0.4980
B 0.1315 0.5322 0.2500
C 0.9315 0.7359 0.7500
C 0.7361 0.9316 0.7500
B 0.2299 0.0389 0.7500
B 0.4772 0.8687 0.7500
Na 0.6028 0.4021 0.4951
B 0.1458 0.5390 0.7500
C 0.6655 0.6679 0.2500
Na 0.9992 0.9995 0.4923


Entry 15:
Material: Cd3TcNi
Method: DFT, PBE
State: relaxed

Properties
For the total energy, the calculation gives -2.424 eV/atom. The distance to the lowest polymorph of the same formula comes out at 0.4298 eV/atom.

Cell lengths 5.2111, 5.2111, 5.2111 Å; angles 90.00, 90.00, 90.00 degrees
Last column: magnetic moment on the atom in μB.
Positions (direct):
Cd 0.5000 0.0000 0.0000  -0.01
Ni 0.5000 0.5000 0.5000  0.86
Cd 0.0000 0.0000 0.5000  0.02
Cd 0.0000 0.5000 0.0000  0.02
Tc 0.0000 0.0000 0.0000  1.70


Entry 16:
Material: Li2BeRe
Method: DFT, PBE
State: relaxed

Properties
For the total energy, the calculation gives -4.635 eV/atom.

Cell lengths 9.3265, 9.3265, 9.3265 Å; angles 16.24, 16.24, 16.24 degrees
Last column: magnetic moment on the atom in μB.
Positions (direct):
Re 0.2500 0.2500 0.2500  0.62
Be 0.7500 0.7500 0.7500  0.00
Li 0.0017 0.0017 0.0017  0.00
Li 0.4983 0.4983 0.4983  0.00


Entry 17:
Material: YTm2Hg
Method: DFT, PBE
State: relaxed

Properties
For the total energy, the calculation gives -4.091 eV/atom. The distance to the lowest polymorph of the same formula comes out at 0.0866 eV/atom.

Cell lengths 3.6160, 3.6160, 10.5692 Å; angles 80.15, 80.15, 60.00 degrees
Last column: magnetic moment on the atom in μB.
Positions (direct):
Tm 0.2579 0.2579 0.2262  0.06
Tm 0.0755 0.0755 0.7734  0.18
Y 0.5001 0.5001 0.4998  0.17
Hg 0.6665 0.6665 0.0006  0.00


Entry 18:
Material: Ac3ZnIn2Pd9
Method: DFT, PBE
State: relaxed

Properties
For the total energy, the calculation gives -4.835 eV/atom.

Cell lengths 6.7846, 6.7846, 9.3879 Å; angles 90.00, 90.00, 120.00 degrees
Positions (direct):
Pd 0.1321 0.8679 0.2875
Pd 0.5000 0.0000 0.0000
Zn 0.0000 0.0000 0.5000
Pd 0.8679 0.7359 0.7125
Ac 0.6667 0.3333 0.2799
In 0.6667 0.3333 0.8091
Ac 0.3333 0.6667 0.7201
Pd 0.5000 0.5000 0.0000
Pd 0.1321 0.2641 0.2875
Pd 0.8679 0.1321 0.7125
Pd 0.0000 0.5000 0.0000
Ac 0.0000 0.0000 0.0000
Pd 0.2641 0.1321 0.7125
Pd 0.7359 0.8679 0.2875
In 0.3333 0.6667 0.1909


Entry 19:
Material: U3Ga5S12
Method: DFT, PBE
State: relaxed

Properties
For the total energy, the calculation gives -5.813 eV/atom.

Cell lengths 13.0935, 13.0935, 13.0935 Å; angles 109.47, 109.47, 109.47 degrees
Last column: magnetic moment on the atom in μB.
Positions (direct):
Ga 0.0000 0.0000 0.5000  0.04
S 0.4124 0.1262 0.5903  -0.02
S 0.5903 0.9641 0.6779  -0.02
Ga 0.3750 0.2500 0.1250  0.04
U 0.1250 0.8750 0.7500  2.46
S 0.9641 0.5903 0.1779  -0.02
S 0.6262 0.0359 0.2138  -0.02
S 0.1262 0.7138 0.5359  -0.02
S 0.0876 0.1779 0.2138  -0.02
U 0.7500 0.3750 0.1250  2.46
Ga 0.2500 0.8750 0.1250  0.04
U 0.3750 0.7500 0.6250  2.46
Ga 0.1250 0.7500 0.3750  0.04
S 0.0359 0.4097 0.8221  -0.02
S 0.0876 0.9097 0.3738  -0.02
S 0.5876 0.7138 0.6779  -0.02
U 0.2500 0.1250 0.3750  2.46
S 0.8221 0.9124 0.2862  -0.02
Ga 0.5000 0.5000 0.0000  0.04
S 0.9097 0.8221 0.5359  -0.02
S 0.6779 0.4641 0.5903  -0.02
S 0.1779 0.0903 0.9641  -0.02
S 0.9641 0.3738 0.2862  -0.02
U 0.3750 0.6250 0.2500  2.46
S 0.7862 0.3221 0.9124  -0.02
S 0.4097 0.0359 0.3221  -0.02
U 0.8750 0.7500 0.1250  2.46
S 0.4641 0.6779 0.0903  -0.02
U 0.7500 0.8750 0.6250  2.46
Ga 0.1250 0.3750 0.2500  0.04
U 0.2500 0.6250 0.8750  2.46
S 0.7138 0.1262 0.0359  -0.02
S 0.3738 0.9641 0.7862  -0.02
S 0.7862 0.4641 0.3738  -0.02
Ga 0.0000 0.5000 0.5000  0.04
Ga 0.3750 0.1250 0.7500  0.04
S 0.9124 0.0903 0.6262  -0.02
U 0.6250 0.3750 0.7500  2.46
S 0.7138 0.5876 0.1779  -0.02
S 0.5876 0.8738 0.4097  -0.02
S 0.2862 0.4124 0.8221  -0.02
U 0.1250 0.2500 0.8750  2.46
S 0.1262 0.4124 0.0903  -0.02
Ga 0.8750 0.2500 0.6250  0.04
Ga 0.0000 0.0000 0.0000  0.04
S 0.3221 0.7862 0.4124  -0.02
S 0.8221 0.9097 0.0359  -0.02
S 0.8738 0.2862 0.4641  -0.02
Ga 0.8750 0.6250 0.7500  0.04
S 0.2138 0.5359 0.6262  -0.02
Ga 0.5000 0.0000 0.5000  0.04
S 0.0903 0.1779 0.4641  -0.02
Ga 0.6250 0.8750 0.2500  0.04
S 0.1779 0.0876 0.7138  -0.02
Ga 0.0000 0.5000 0.0000  0.04
Ga 0.7500 0.1250 0.8750  0.04
S 0.4124 0.2862 0.3221  -0.02
U 0.8750 0.1250 0.2500  2.46
S 0.6262 0.5903 0.9124  -0.02
Ga 0.5000 0.5000 0.5000  0.04
S 0.5359 0.3221 0.9097  -0.02
S 0.4641 0.7862 0.8738  -0.02
S 0.5903 0.6262 0.4124  -0.02
S 0.3221 0.5359 0.4097  -0.02
Ga 0.5000 0.0000 0.0000  0.04
S 0.9124 0.8221 0.7862  -0.02
S 0.2138 0.6779 0.0876  -0.02
S 0.2862 0.8738 0.9641  -0.02
S 0.0359 0.6262 0.7138  -0.02
S 0.0903 0.9124 0.1262  -0.02
S 0.5359 0.2138 0.1262  -0.02
S 0.4097 0.3738 0.5876  -0.02
S 0.6779 0.2138 0.5876  -0.02
S 0.8738 0.5876 0.9097  -0.02
S 0.9097 0.0876 0.8738  -0.02
Ga 0.7500 0.6250 0.3750  0.04
Ga 0.2500 0.3750 0.6250  0.04
S 0.3738 0.4097 0.0876  -0.02
U 0.6250 0.2500 0.3750  2.46
Ga 0.6250 0.7500 0.8750  0.04


Entry 20:
Material: ZrP2RuS
Method: DFT, PBE
State: relaxed

Properties
For the total energy, the calculation gives -5.709 eV/atom. The distance to the lowest polymorph of the same formula comes out at 0.7744 eV/atom.

Cell lengths 4.9988, 4.9988, 4.8565 Å; angles 90.00, 90.00, 90.00 degrees
Last column: magnetic moment on the atom in μB.
Positions (direct):
P 0.0000 0.5000 0.0000  -0.09
Ru 0.5000 0.5000 0.5000  2.54
S 0.0000 0.0000 0.5000  -0.01
P 0.5000 0.0000 0.0000  -0.09
Zr 0.0000 0.0000 0.0000  0.04